Compound: ZrZn11Tc
Source: the Alexandria database
Functional: PBE-GGA
Structure: optimized geometry

The structure belongs to space group C2/m (No. 12); the cell edges are 5.2166, 12.7436 and 6.5140 Å and the angles 90.00°, 111.58° and 90.00°. The distinct sites, in fractional coordinates, are Zr at (0.0000, 0.0000, 0.0000), Zn at (0.0000, 0.5000, 0.5000), Zn at (0.1070, 0.3930, 0.2122), Zn at (0.1574, 0.1714, 0.3529), Zn at (0.2500, 0.2500, 0.0000) and Tc at (0.0000, 0.0000, 0.5000).


Compound: Zr4ZnTc2
Source: the Alexandria database
Functional: PBE-GGA
Structure: optimized geometry

The structure belongs to space group R-3m (No. 166, hexagonal axes); the cell edges are 4.6717, 4.6717 and 22.2498 Å and the angles 90.00°, 90.00° and 120.00°. The distinct sites, in fractional coordinates, are Zr at (0.0000, 0.0000, 0.1181), Zr at (0.0000, 0.0000, 0.3696), Zn at (0.0000, 0.0000, 0.5000) and Tc at (0.0000, 0.0000, 0.2461).


Compound: ZrZn3Tc
Source: the Alexandria database
Functional: PBE-GGA
Structure: optimized geometry

As for the relative energy among the computed polymorphs: 973 meV per atom.

The structure belongs to space group Pm-3m (No. 221); the cell edges are 5.0833, 5.0833 and 5.0833 Å and the angles 90.00°, 90.00° and 90.00°. The distinct sites, in fractional coordinates, are Zr at (0.0000, 0.0000, 0.0000), Zn at (0.0000, 0.0000, 0.5000) and Tc at (0.5000, 0.5000, 0.5000).


| no. | total DFT energy (no corrections) (eV/atom) | calculated formation energy (meV per atom) |
| --- | --- | --- |
| 1 | -2.60 | -65 |
| 2 | -8.21 | -178 |
| 3 | -2.94 | 1607 |